Record 1
The following is a DFT calculation (meta-GGA SCAN) of SbPOs2 at its PBEsol-relaxed geometry.

Properties
- Relative energy among the computed polymorphs: 0.048 eV per atom
- Total energy: -47.49 eV per atom
- Uncorrected formation energy: 1.4 eV per formula unit
- Symmetry: R-3m

Lattice parameters (Å, degrees): 8.1141 8.1141 8.1141 21.13 21.13 21.13
Last column: nearest neighbours and their distance in Å.
Atoms (fractional coordinates):
Sb (0.0000, 0.0000, 0.0000)  6 Os 2.83, 6 Sb 2.98
P (0.5000, 0.5000, 0.5000)  6 Os 2.43
Os (0.2388, 0.2388, 0.2388)  3 P 2.43
Os (0.7612, 0.7612, 0.7612)  3 P 2.43

---

Record 2
The following is a DFT calculation (meta-GGA SCAN) of PH2Cl at its PBEsol-relaxed geometry.

Properties
- Total energy: -6.06 eV per atom
- Symmetry: I4_1/amd

Lattice parameters (Å, degrees): 5.2260 5.2260 5.2260 120.66 120.66 88.85
Last column: nearest neighbours and their distance in Å.
Atoms (fractional coordinates):
P (0.3750, 0.6250, 0.7500)  4 H 1.59
P (0.6250, 0.3750, 0.2500)  4 H 1.59
H (0.0000, 0.5000, 0.5000)  2 P 1.59
H (0.5000, 0.0000, 0.0000)  2 P 1.59
H (0.5000, 0.5000, 0.0000)  2 P 1.59
H (0.5000, 0.5000, 0.5000)  2 P 1.59
Cl (0.1250, 0.8750, 0.2500)  12 H 3.04-3.08, 4 Cl 3.19, 4 P 3.19
Cl (0.8750, 0.1250, 0.7500)  12 H 3.04-3.08, 4 Cl 3.19, 4 P 3.19

---

Record 3
The following is a DFT calculation (meta-GGA SCAN) of KSbAs2 at its PBEsol-relaxed geometry.

Properties
- Total energy: -21.18 eV per atom
- Uncorrected formation energy: 1.3 eV per formula unit
- Symmetry: F-43m

Lattice parameters (Å, degrees): 5.1417 5.1417 5.1417 60.00 60.00 60.00
Last column: nearest neighbours and their distance in Å.
Atoms (fractional coordinates):
K (0.0000, 0.0000, 0.0000)  4 As 3.15, 4 Sb 3.15
Sb (0.7500, 0.7500, 0.7500)  4 K 3.15, 4 As 3.15
As (0.2500, 0.2500, 0.2500)  4 As 3.15, 4 K 3.15
As (0.5000, 0.5000, 0.5000)  4 Sb 3.15, 4 As 3.15

---

Record 4
The following is a DFT calculation (meta-GGA SCAN) of CdTcPt at its PBEsol-relaxed geometry.

Properties
- Relative energy among the computed polymorphs: 0.067 eV per atom
- Total energy: -44.89 eV per atom
- Symmetry: F-43m

Lattice parameters (Å, degrees): 4.2875 4.2875 4.2875 60.00 60.00 60.00
Last column: nearest neighbours and their distance in Å.
Atoms (fractional coordinates):
Cd (0.0000, 0.0000, 0.0000)  4 Pt 2.63
Tc (0.5000, 0.5000, 0.5000)  4 Pt 2.63
Pt (0.7500, 0.7500, 0.7500)  4 Cd 2.63, 4 Tc 2.63

---

Record 5
The following is a DFT calculation (meta-GGA SCAN) of Sc5Mn at its PBEsol-relaxed geometry.

Properties
- Relative energy among the computed polymorphs: 0.093 eV per atom
- Total energy: -14.83 eV per atom
- Symmetry: C2/m

Lattice parameters (Å, degrees): 5.7216 5.7216 7.5220 110.44 110.44 32.92
Last column: nearest neighbours and their distance in Å.
Atoms (fractional coordinates):
Sc (0.0000, 0.0000, 0.0000)  10 Sc 3.08-3.26
Sc (0.3377, 0.3377, 0.2179)  2 Mn 2.75, 2 Sc 3.01
Sc (0.3682, 0.3682, 0.6320)  2 Mn 2.60
Sc (0.6318, 0.6318, 0.3680)  2 Mn 2.60
Sc (0.6623, 0.6623, 0.7821)  2 Mn 2.75, 2 Sc 3.01
Mn (0.0000, 0.0000, 0.5000)  8 Sc 2.60-2.75

---

Record 6
The following is a DFT calculation (meta-GGA SCAN) of ScTl at its PBEsol-relaxed geometry.

Properties
- Total energy: -43.40 eV per atom
- Symmetry: R-3m

Lattice parameters (Å, degrees): 6.0313 6.0313 6.0313 45.48 45.48 45.48
Last column: nearest neighbours and their distance in Å.
Atoms (fractional coordinates):
Sc (0.1034, 0.1034, 0.1034)  4 Tl 2.89-3.09
Sc (0.8966, 0.8966, 0.8966)  4 Tl 2.89-3.09
Tl (0.2942, 0.2942, 0.2942)  4 Sc 2.89-3.09, 3 Tl 2.98
Tl (0.7058, 0.7058, 0.7058)  4 Sc 2.89-3.09, 3 Tl 2.98

---

Record 7
The following is a DFT calculation (meta-GGA SCAN) of BaReW2Cl at its PBEsol-relaxed geometry.

Properties
- Total energy: -47.31 eV per atom
- Uncorrected formation energy: 21.5 eV per formula unit
- Symmetry: P4/mmm

Lattice parameters (Å, degrees): 5.0846 5.0846 5.0597 90.00 90.00 90.00
Last column: nearest neighbours and their distance in Å.
Atoms (fractional coordinates):
Ba (0.0000, 0.0000, 0.0000)  2 Re 2.53, 4 W 2.54
Re (0.0000, 0.0000, 0.5000)  2 Ba 2.53
W (0.0000, 0.5000, 0.0000)  2 Ba 2.54
W (0.5000, 0.0000, 0.0000)  2 Ba 2.54
Cl (0.5000, 0.5000, 0.5000)  8 W 3.59, 4 Re 3.60

---

Record 8
The following is a DFT calculation (meta-GGA SCAN) of RbIO2 at its PBEsol-relaxed geometry.

Properties
- Total energy: -17.99 eV per atom
- Uncorrected formation energy: -2.0 eV per formula unit
- Symmetry: R-3m

Lattice parameters (Å, degrees): 5.7071 5.7071 5.7071 40.32 40.32 40.32
Last column: nearest neighbours and their distance in Å.
Atoms (fractional coordinates):
Rb (0.0000, 0.0000, 0.0000)  8 O 3.06-3.18
I (0.5000, 0.5000, 0.5000)  6 O 2.34
O (0.2027, 0.2027, 0.2027)  3 I 2.34, 3 O 2.54
O (0.7973, 0.7973, 0.7973)  3 I 2.34, 3 O 2.54

---

Record 9
The following is a DFT calculation (meta-GGA SCAN) of ZrCo2Au2 at its PBEsol-relaxed geometry.

Properties
- Total energy: -40.78 eV per atom
- Symmetry: I4/mmm

Lattice parameters (Å, degrees): 6.1971 6.1971 6.1971 144.62 144.62 50.90
Last column: nearest neighbours and their distance in Å.
Atoms (fractional coordinates):
Zr (0.0000, 0.0000, 0.0000)  8 Co 2.86
Co (0.4072, 0.4072, 0.0000)  1 Co 2.08
Co (0.5928, 0.5928, 0.0000)  1 Co 2.08
Au (0.2500, 0.7500, 0.5000)  4 Co 2.58, 4 Au 2.66
Au (0.7500, 0.2500, 0.5000)  4 Co 2.58, 4 Au 2.66

---

Record 10
The following is a DFT calculation (meta-GGA SCAN) of Sc2HgBi2 at its PBEsol-relaxed geometry.

Properties
- Total energy: -51.31 eV per atom
- Symmetry: P4/mbm

Lattice parameters (Å, degrees): 7.8848 7.8848 3.9780 90.00 90.00 90.00
Last column: nearest neighbours and their distance in Å.
Atoms (fractional coordinates):
Sc (0.1459, 0.3541, 0.0000)  6 Bi 2.94-3.13, 2 Hg 3.02, 1 Sc 3.25
Sc (0.3541, 0.8541, 0.0000)  6 Bi 2.94-3.13, 2 Hg 3.02, 1 Sc 3.25
Sc (0.6459, 0.1459, 0.0000)  6 Bi 2.94-3.13, 2 Hg 3.02, 1 Sc 3.25
Sc (0.8541, 0.6459, 0.0000)  6 Bi 2.94-3.13, 2 Hg 3.02, 1 Sc 3.25
Hg (0.0000, 0.0000, 0.0000)  4 Sc 3.02
Hg (0.5000, 0.5000, 0.0000)  4 Sc 3.02
Bi (0.1596, 0.6596, 0.5000)  6 Sc 2.94-3.13
Bi (0.3404, 0.1596, 0.5000)  6 Sc 2.94-3.13
Bi (0.6596, 0.8404, 0.5000)  6 Sc 2.94-3.13
Bi (0.8404, 0.3404, 0.5000)  6 Sc 2.94-3.13

---

Record 11
The following is a DFT calculation (meta-GGA SCAN) of SrIn2Au at its PBEsol-relaxed geometry.

Properties
- Total energy: -40.15 eV per atom
- Symmetry: R3m

Lattice parameters (Å, degrees): 6.3306 6.3306 6.3306 43.42 43.42 43.42
Last column: nearest neighbours and their distance in Å.
Atoms (fractional coordinates):
Sr (0.0000, 0.0000, 0.0000)  1 Au 3.25, 6 In 3.37-3.40
In (0.2131, 0.2131, 0.2131)  3 Au 2.95, 3 In 3.17
In (0.4505, 0.4505, 0.4505)  3 Au 2.74
Au (0.8109, 0.8109, 0.8109)  6 In 2.74-2.95

---

Record 12
The following is a DFT calculation (meta-GGA SCAN) of FeAgIO2 at its PBEsol-relaxed geometry.

Properties
- Total energy: -19.18 eV per atom
- Uncorrected formation energy: 2.8 eV per formula unit
- Symmetry: P4/mmm

Lattice parameters (Å, degrees): 3.9220 3.9220 5.9620 90.00 90.00 90.00
Last column: nearest neighbours and their distance in Å.
Atoms (fractional coordinates):
Fe (0.0000, 0.0000, 0.0000)  4 I 2.77
Ag (0.5000, 0.5000, 0.5000)  4 O 1.96
I (0.5000, 0.5000, 0.0000)  4 Fe 2.77, 2 Ag 2.98
O (0.0000, 0.5000, 0.5000)  2 Ag 1.96
O (0.5000, 0.0000, 0.5000)  2 Ag 1.96

---

Record 13
The following is a DFT calculation (meta-GGA SCAN) of Ti2Be2Pt at its PBEsol-relaxed geometry.

Properties
- Total energy: -22.92 eV per atom
- Symmetry: P4/mbm

Lattice parameters (Å, degrees): 6.1062 6.1062 3.3225 90.00 90.00 90.00
Last column: nearest neighbours and their distance in Å.
Atoms (fractional coordinates):
Ti (0.1705, 0.3295, 0.0000)  6 Be 2.42-2.47
Ti (0.3295, 0.8295, 0.0000)  6 Be 2.42-2.47
Ti (0.6705, 0.1705, 0.0000)  6 Be 2.42-2.47
Ti (0.8295, 0.6705, 0.0000)  6 Be 2.42-2.47
Be (0.1260, 0.6260, 0.5000)  1 Be 2.18, 2 Pt 2.41, 2 Ti 2.42
Be (0.3740, 0.1260, 0.5000)  1 Be 2.18, 2 Pt 2.41, 2 Ti 2.42
Be (0.6260, 0.8740, 0.5000)  1 Be 2.18, 2 Pt 2.41, 2 Ti 2.42
Be (0.8740, 0.3740, 0.5000)  1 Be 2.18, 2 Pt 2.41, 2 Ti 2.42
Pt (0.0000, 0.0000, 0.5000)  4 Be 2.41
Pt (0.5000, 0.5000, 0.5000)  4 Be 2.41

---

Record 14
The following is a DFT calculation (meta-GGA SCAN) of ReIr3 at its PBEsol-relaxed geometry.

Properties
- Relative energy among the computed polymorphs: 0.041 eV per atom
- Total energy: -71.21 eV per atom
- Symmetry: P4/mmm

Lattice parameters (Å, degrees): 2.7072 2.7072 7.7180 90.00 90.00 90.00
Last column: nearest neighbours and their distance in Å.
Atoms (fractional coordinates):
Re (0.0000, 0.0000, 0.0000)  8 Ir 2.70, 4 Re 2.71
Ir (0.0000, 0.0000, 0.5000)  12 Ir 2.71-2.73
Ir (0.5000, 0.5000, 0.2474)  4 Re 2.70, 8 Ir 2.71-2.73
Ir (0.5000, 0.5000, 0.7526)  4 Re 2.70, 8 Ir 2.71-2.73

---

Record 15
The following is a DFT calculation (meta-GGA SCAN) of CaPrCd2 at its PBEsol-relaxed geometry.

Properties
- Total energy: -28.93 eV per atom
- Symmetry: Fm-3m

Lattice parameters (Å, degrees): 5.3467 5.3467 5.3467 60.00 60.00 60.00
Last column: nearest neighbours and their distance in Å.
Atoms (fractional coordinates):
Ca (0.0000, 0.0000, 0.0000)  8 Cd 3.27
Pr (0.5000, 0.5000, 0.5000)  8 Cd 3.27
Cd (0.2500, 0.2500, 0.2500)  4 Pr 3.27, 4 Ca 3.27
Cd (0.7500, 0.7500, 0.7500)  4 Pr 3.27, 4 Ca 3.27

---

Record 16
The following is a DFT calculation (meta-GGA SCAN) of In2Au2Br at its PBEsol-relaxed geometry.

Properties
- Relative energy among the computed polymorphs: 0.000 eV per atom
- Total energy: -45.14 eV per atom
- Uncorrected formation energy: -1.1 eV per formula unit
- Symmetry: I4/mmm

Lattice parameters (Å, degrees): 6.1866 6.1866 6.1866 132.72 132.72 69.10
Last column: nearest neighbours and their distance in Å.
Atoms (fractional coordinates):
In (0.2500, 0.7500, 0.5000)  4 Au 2.76
In (0.7500, 0.2500, 0.5000)  4 Au 2.76
Au (0.1313, 0.1313, 0.0000)  1 Au 2.68, 4 In 2.76
Au (0.8687, 0.8687, 0.0000)  1 Au 2.68, 4 In 2.76
Br (0.5000, 0.5000, 0.0000)  8 In 3.56, 10 Au 3.76

---

Record 17
The following is a DFT calculation (meta-GGA SCAN) of In2FeP at its PBEsol-relaxed geometry.

Properties
- Total energy: -23.62 eV per atom
- Symmetry: Imm2

Lattice parameters (Å, degrees): 6.2441 6.2441 6.2441 153.53 138.53 49.87
Last column: nearest neighbours and their distance in Å.
Atoms (fractional coordinates):
In (0.0000, 0.0000, 0.0000)  4 Fe 2.65, 2 In 2.86, 2 P 2.93
In (0.6942, 0.1942, 0.5000)  2 Fe 2.84, 4 In 2.86-3.12, 4 P 3.05
Fe (0.4773, 0.4773, 0.0000)  2 P 2.19
P (0.3307, 0.8307, 0.5000)  2 Fe 2.19

---

Record 18
The following is a DFT calculation (meta-GGA SCAN) of LiHgSe2 at its PBEsol-relaxed geometry.

Properties
- Total energy: -28.07 eV per atom
- Uncorrected formation energy: -1.6 eV per formula unit
- Symmetry: Pmmm

Lattice parameters (Å, degrees): 3.3854 3.5308 7.3761 90.00 90.00 90.00
Last column: nearest neighbours and their distance in Å.
Atoms (fractional coordinates):
Li (0.0000, 0.0000, 0.0000)  8 Se 2.71
Hg (0.0000, 0.0000, 0.5000)  4 Hg 3.39-3.53, 8 Se 3.51, 2 Li 3.69
Se (0.5000, 0.5000, 0.1587)  1 Se 2.34
Se (0.5000, 0.5000, 0.8413)  1 Se 2.34

---

Record 19
The following is a DFT calculation (meta-GGA SCAN) of Li2CdSi at its PBEsol-relaxed geometry.

Properties
- Total energy: -11.46 eV per atom
- Uncorrected formation energy: -0.6 eV per formula unit
- Symmetry: Pmm2

Lattice parameters (Å, degrees): 2.8264 4.4679 4.9639 90.00 90.00 90.00
Last column: nearest neighbours and their distance in Å.
Atoms (fractional coordinates):
Li (0.0000, 0.0000, 0.0000)  4 Li 2.75-2.83, 4 Si 2.76, 4 Cd 2.82-2.89
Li (0.0000, 0.5000, 0.3246)  4 Li 2.75-2.83, 4 Cd 2.80, 4 Si 2.80-2.92
Cd (0.5000, 0.0000, 0.5082)  2 Si 2.77, 8 Li 2.80-2.89, 2 Cd 2.83
Si (0.5000, 0.5000, 0.8383)  8 Li 2.76-2.92, 2 Cd 2.77, 2 Si 2.83

---

Record 20
The following is a DFT calculation (meta-GGA SCAN) of TlSe2Br at its PBEsol-relaxed geometry.

Properties
- Relative energy among the computed polymorphs: 0.214 eV per atom
- Total energy: -33.04 eV per atom
- Uncorrected formation energy: -0.2 eV per formula unit
- Symmetry: P4/mmm

Lattice parameters (Å, degrees): 4.0071 4.0071 6.6012 90.00 90.00 90.00
Last column: nearest neighbours and their distance in Å.
Atoms (fractional coordinates):
Tl (0.0000, 0.0000, 0.0000)  4 Br 2.83
Se (0.0000, 0.5000, 0.5000)  4 Se 2.83
Se (0.5000, 0.0000, 0.5000)  4 Se 2.83
Br (0.5000, 0.5000, 0.0000)  4 Tl 2.83